Here is an optimized crystal structure of TeIr from the Alexandria database. Energies are from PBE-GGA.

Properties
Calculated density   10.695 g/cm3
Uncorrected energy   -5.918 eV per atom
Crystal system   trigonal
Formation energy from raw total energies   0.08 eV per atom

Cell: 3.732 3.732 8.233 Å, 90.00 90.00 120.00°
Positions (direct):
Ir1 0.667 0.333 0.230
Ir2 0.000 0.000 0.020
Te1 0.667 0.333 0.845
Te2 0.000 0.000 0.405